# Gd2Tm3Cd3

An optimized crystal structure of Gd2Tm3Cd3 (PBE-GGA, OQMD via LeMat-Bulk).

a b c (Å): 6.6858 5.3854 6.6993
angles (deg): 90.00 118.00 90.00
Element x y z (fractional)
Cd (0.8441, 0.5000, 0.6624)
Gd (0.6619, 0.0000, 0.3512)
Cd (0.1590, 0.0000, 0.3319)
Tm (0.3305, 0.5000, 0.1623)
Gd (0.3475, 0.5000, 0.6548)
Cd (0.6674, 0.0000, 0.8435)
Tm (0.8409, 0.5000, 0.1547)
Tm (0.1488, 0.0000, 0.8392)

The value obtained for the energy above the most stable polymorph in this dataset is 0 meV per atom. Its formation energy is -163 meV/atom. The total energy comes out at -3.3402 eV/atom.

=====

# Gd2Tm3Cd3

An optimized crystal structure of Gd2Tm3Cd3 (PBE-GGA, OQMD via LeMat-Bulk).

a b c (Å): 6.8443 6.8443 5.3796
angles (deg): 90.00 90.00 120.00
Element x y z (fractional)
Tm (0.5003, 0.0007, 0.0000)
Gd (0.0000, 0.0000, 0.0000)
Tm (0.5003, 0.4997, 0.0000)
Cd (0.6544, 0.8272, 0.5000)
Gd (0.6667, 0.3333, 0.5000)
Cd (0.1728, 0.8272, 0.5000)
Tm (0.9993, 0.4997, 0.0000)
Cd (0.1728, 0.3456, 0.5000)

The value obtained for the energy above the most stable polymorph in this dataset is 79 meV per atom. Its formation energy is -84 meV/atom. The total energy comes out at -3.2611 eV/atom.

=====

# Gd2Tm5Cd

An optimized crystal structure of Gd2Tm5Cd (PBE-GGA, OQMD via LeMat-Bulk).

a b c (Å): 5.5240 7.0230 7.0230
angles (deg): 59.96 90.00 90.00
Last column: magnetic moment on the atom in μB.
Element x y z (fractional)
Tm (0.0000, 0.8346, 0.8346)  0.07
Gd (0.5000, 0.6711, 0.6711)  0.06
Tm (0.0000, 0.8354, 0.3321)  0.10
Tm (0.5000, 0.1589, 0.6728)  0.07
Tm (0.5000, 0.6728, 0.1589)  0.07
Tm (0.0000, 0.3321, 0.8354)  0.12
Gd (0.0000, 0.3307, 0.3307)  0.09
Cd (0.5000, 0.1644, 0.1644)  0.01

Its formation energy is -20 meV/atom. The total energy comes out at -4.0921 eV/atom.

=====

# GdTmCd

An optimized crystal structure of GdTmCd (PBE-GGA, OQMD via LeMat-Bulk).

a b c (Å): 5.0606 5.0606 5.0606
angles (deg): 60.00 60.00 60.00
Element x y z (fractional)
Tm (0.0000, 0.0000, 0.0000)
Cd (0.2500, 0.2500, 0.2500)
Gd (0.7500, 0.7500, 0.7500)

Its formation energy is 495 meV/atom. The total energy comes out at -2.8467 eV/atom.

=====

# Gd2Tm3Cd3

An optimized crystal structure of Gd2Tm3Cd3 (PBE-GGA, OQMD via LeMat-Bulk).

a b c (Å): 5.5280 6.6367 6.6367
angles (deg): 64.08 90.00 90.00
Element x y z (fractional)
Tm (0.5000, 0.1425, 0.1425)
Cd (0.5000, 0.6356, 0.2031)
Cd (0.0000, 0.8388, 0.8388)
Gd (0.0000, 0.3310, 0.3310)
Tm (0.0000, 0.3308, 0.8307)
Cd (0.5000, 0.2031, 0.6356)
Gd (0.5000, 0.6875, 0.6875)
Tm (0.0000, 0.8307, 0.3308)

The value obtained for the energy above the most stable polymorph in this dataset is 59 meV per atom. Its formation energy is -104 meV/atom. The total energy comes out at -3.2813 eV/atom.

=====

# GdUCd

An optimized crystal structure of GdUCd (PBE-GGA, OQMD via LeMat-Bulk).

a b c (Å): 5.0307 5.0307 5.0307
angles (deg): 60.00 60.00 60.00
Last column: magnetic moment on the atom in μB.
Element x y z (fractional)
Gd (0.7500, 0.7500, 0.7500)  0.43
U (0.0000, 0.0000, 0.0000)  2.66
Cd (0.2500, 0.2500, 0.2500)  -0.01

Its formation energy is 1052 meV/atom. The total energy comes out at -4.5636 eV/atom.

=====

# Gd2YCd5

An optimized crystal structure of Gd2YCd5 (PBE-GGA, OQMD via LeMat-Bulk).

a b c (Å): 5.1607 6.4494 6.4494
angles (deg): 69.33 90.00 90.00
Element x y z (fractional)
Cd (0.0000, 0.8503, 0.3599)
Cd (0.0000, 0.3599, 0.8503)
Y (0.5000, 0.1145, 0.1145)
Cd (0.0000, 0.8656, 0.8656)
Gd (0.5000, 0.6649, 0.6649)
Gd (0.0000, 0.3554, 0.3554)
Cd (0.5000, 0.6218, 0.1675)
Cd (0.5000, 0.1675, 0.6218)

Its formation energy is -308 meV/atom. The total energy comes out at -2.8398 eV/atom.

=====

# GdYCd

An optimized crystal structure of GdYCd (PBE-GGA, OQMD via LeMat-Bulk).

a b c (Å): 5.1052 5.1052 5.1052
angles (deg): 60.00 60.00 60.00
Element x y z (fractional)
Y (0.0000, 0.0000, 0.0000)
Cd (0.2500, 0.2500, 0.2500)
Gd (0.7500, 0.7500, 0.7500)

Its formation energy is 507 meV/atom. The total energy comes out at -3.4983 eV/atom.

=====

Please write out number 2 again, unchanged.
# Gd2Tm3Cd3

An optimized crystal structure of Gd2Tm3Cd3 (PBE-GGA, OQMD via LeMat-Bulk).

a b c (Å): 6.8443 6.8443 5.3796
angles (deg): 90.00 90.00 120.00
Element x y z (fractional)
Tm (0.5003, 0.0007, 0.0000)
Gd (0.0000, 0.0000, 0.0000)
Tm (0.5003, 0.4997, 0.0000)
Cd (0.6544, 0.8272, 0.5000)
Gd (0.6667, 0.3333, 0.5000)
Cd (0.1728, 0.8272, 0.5000)
Tm (0.9993, 0.4997, 0.0000)
Cd (0.1728, 0.3456, 0.5000)

The value obtained for the energy above the most stable polymorph in this dataset is 79 meV per atom. Its formation energy is -84 meV/atom. The total energy comes out at -3.2611 eV/atom.

=====

What did the third record say?
# Gd2Tm5Cd

An optimized crystal structure of Gd2Tm5Cd (PBE-GGA, OQMD via LeMat-Bulk).

a b c (Å): 5.5240 7.0230 7.0230
angles (deg): 59.96 90.00 90.00
Last column: magnetic moment on the atom in μB.
Element x y z (fractional)
Tm (0.0000, 0.8346, 0.8346)  0.07
Gd (0.5000, 0.6711, 0.6711)  0.06
Tm (0.0000, 0.8354, 0.3321)  0.10
Tm (0.5000, 0.1589, 0.6728)  0.07
Tm (0.5000, 0.6728, 0.1589)  0.07
Tm (0.0000, 0.3321, 0.8354)  0.12
Gd (0.0000, 0.3307, 0.3307)  0.09
Cd (0.5000, 0.1644, 0.1644)  0.01

Its formation energy is -20 meV/atom. The total energy comes out at -4.0921 eV/atom.

=====

Copy entry 1 word for word.
# Gd2Tm3Cd3

An optimized crystal structure of Gd2Tm3Cd3 (PBE-GGA, OQMD via LeMat-Bulk).

a b c (Å): 6.6858 5.3854 6.6993
angles (deg): 90.00 118.00 90.00
Element x y z (fractional)
Cd (0.8441, 0.5000, 0.6624)
Gd (0.6619, 0.0000, 0.3512)
Cd (0.1590, 0.0000, 0.3319)
Tm (0.3305, 0.5000, 0.1623)
Gd (0.3475, 0.5000, 0.6548)
Cd (0.6674, 0.0000, 0.8435)
Tm (0.8409, 0.5000, 0.1547)
Tm (0.1488, 0.0000, 0.8392)

The value obtained for the energy above the most stable polymorph in this dataset is 0 meV per atom. Its formation energy is -163 meV/atom. The total energy comes out at -3.3402 eV/atom.